No. 1
Computed, not measured: crystalline BaAlZn2Au4 at its relaxed geometry at the PBE level of DFT.

Properties
For the formation energy, the calculation gives -0.39 eV per atom. The density of states at the Fermi level is 0.74 states/eV per atom. For the volume, the calculation gives 21.337 Å³/atom. The symmetry is R-3m (166).

a = 4.484 Å, b = 4.484 Å, c = 10.139 Å
α = 77.22°, β = 77.22°, γ = 60.00°
Element x y z (fractional)
Au  0.591  0.591  0.228
Zn  0.760  0.760  0.719
Ba  0.000  0.000  0.000
Zn  0.240  0.240  0.281
Au  0.138  0.138  0.587
Au  0.862  0.862  0.413
Au  0.409  0.409  0.772
Al  0.500  0.500  0.500



No. 2
Computed, not measured: crystalline BaAlZn4Au2 at its relaxed geometry at the PBE level of DFT.

Properties
For the formation energy, the calculation gives -0.22 eV per atom. The density of states at the Fermi level is 0.42 states/eV per atom. For the volume, the calculation gives 20.961 Å³/atom. The symmetry is R-3m (166).

a = 4.425 Å, b = 4.425 Å, c = 10.213 Å
α = 77.49°, β = 77.49°, γ = 60.00°
Element x y z (fractional)
Zn  0.408  0.408  0.775
Al  0.500  0.500  0.500
Au  0.765  0.765  0.706
Au  0.235  0.235  0.294
Zn  0.130  0.130  0.611
Zn  0.870  0.870  0.389
Zn  0.592  0.592  0.225
Ba  0.000  0.000  0.000



No. 3
Computed, not measured: crystalline BaAlZnAu2 at its relaxed geometry at the PBE level of DFT.

Properties
For the formation energy, the calculation gives -0.36 eV per atom. The density of states at the Fermi level is 0.59 states/eV per atom. For the volume, the calculation gives 25.739 Å³/atom. The symmetry is P4/mmm (123).

a = 5.092 Å, b = 5.092 Å, c = 4.964 Å
α = 90.00°, β = 90.00°, γ = 90.00°
Element x y z (fractional)
Al  0.000  0.000  0.000
Au  0.500  0.000  0.000
Zn  0.000  0.000  0.500
Ba  0.500  0.500  0.500
Au  0.000  0.500  0.000



No. 4
Computed, not measured: crystalline BaAlZnAu6 at its relaxed geometry at the PBE level of DFT.

Properties
For the formation energy, the calculation gives -0.26 eV per atom. The density of states at the Fermi level is 0.30 states/eV per atom. For the volume, the calculation gives 22.704 Å³/atom. The symmetry is Imma (74).

a = 7.637 Å, b = 9.866 Å, c = 8.266 Å
α = 126.64°, β = 117.51°, γ = 90.00°
Element x y z (fractional)
Au  0.425  0.175  0.850
Zn  0.500  0.000  0.500
Ba  0.252  0.502  0.504
Au  0.339  0.640  0.251
Au  0.088  0.360  0.749
Zn  0.000  0.000  0.500
Ba  0.748  0.498  0.496
Au  0.661  0.889  0.749
Au  0.088  0.889  0.749
Au  0.912  0.640  0.251
Au  0.339  0.111  0.251
Al  0.500  0.500  0.000
Au  0.074  0.824  0.147
Au  0.575  0.825  0.150
Au  0.661  0.360  0.749
Au  0.912  0.111  0.251
Al  0.500  0.000  0.000
Au  0.926  0.176  0.853



No. 5
Computed, not measured: crystalline Ba3Al2Zn2Au4 at its relaxed geometry at the PBE level of DFT.

Properties
For the formation energy, the calculation gives -0.50 eV per atom. The density of states at the Fermi level is 0.60 states/eV per atom. For the volume, the calculation gives 27.873 Å³/atom. The symmetry is P-3m1 (164).

a = 4.589 Å, b = 4.589 Å, c = 16.813 Å
α = 90.00°, β = 90.00°, γ = 120.00°
Element x y z (fractional)
Au  0.333  0.667  0.412
Zn  0.333  0.667  0.141
Ba  0.000  0.000  0.281
Zn  0.667  0.333  0.859
Au  0.333  0.667  0.863
Au  0.667  0.333  0.588
Ba  0.000  0.000  0.719
Al  0.333  0.667  0.563
Au  0.667  0.333  0.137
Ba  0.000  0.000  0.000
Al  0.667  0.333  0.437



No. 6
Computed, not measured: crystalline BeAl2Au at its relaxed geometry at the PBE level of DFT.

Properties
For the formation energy, the calculation gives 0.00 eV per atom. The density of states at the Fermi level is 0.37 states/eV per atom. For the volume, the calculation gives 14.967 Å³/atom. The symmetry is P4mm (99).

a = 2.831 Å, b = 2.831 Å, c = 7.468 Å
α = 90.00°, β = 90.00°, γ = 90.00°
Element x y z (fractional)
Be  0.500  0.500  0.740
Al  0.000  0.000  0.968
Al  0.500  0.500  0.256
Au  0.000  0.000  0.535



No. 7
Computed, not measured: crystalline BeAl2Au at its relaxed geometry at the PBE level of DFT.

Properties
For the formation energy, the calculation gives 0.01 eV per atom. The density of states at the Fermi level is 0.51 states/eV per atom. For the volume, the calculation gives 14.802 Å³/atom. The symmetry is I4/mmm (139).

a = 4.747 Å, b = 4.747 Å, c = 4.747 Å
α = 131.26°, β = 131.20°, γ = 71.44°
Element x y z (fractional)
Be  0.250  0.750  0.500
Au  0.750  0.250  0.500
Al  0.500  0.500  0.000
Al  0.000  0.000  0.000



No. 8
Computed, not measured: crystalline BeAlAu2 at its relaxed geometry at the PBE level of DFT.

Properties
For the formation energy, the calculation gives -0.16 eV per atom. The density of states at the Fermi level is 0.10 states/eV per atom. For the volume, the calculation gives 14.909 Å³/atom. The symmetry is Cmmm (65).

a = 4.327 Å, b = 4.327 Å, c = 3.185 Å
α = 90.00°, β = 90.00°, γ = 90.19°
Element x y z (fractional)
Be  0.500  0.000  0.500
Al  0.000  0.500  0.500
Au  0.000  0.000  0.000
Au  0.500  0.500  0.000



No. 9
Computed, not measured: crystalline BeAlAu3 at its relaxed geometry at the PBE level of DFT.

Properties
For the formation energy, the calculation gives 0.15 eV per atom. The density of states at the Fermi level is 0.36 states/eV per atom. For the volume, the calculation gives 17.923 Å³/atom. The symmetry is Pm-3m (221).

a = 4.475 Å, b = 4.475 Å, c = 4.475 Å
α = 90.00°, β = 90.00°, γ = 90.00°
Element x y z (fractional)
Au  0.000  0.000  0.500
Be  0.000  0.000  0.000
Au  0.000  0.500  0.000
Au  0.500  0.000  0.000
Al  0.500  0.500  0.500



No. 10
Computed, not measured: crystalline Be2AlAu6 at its relaxed geometry at the PBE level of DFT.

Properties
For the formation energy, the calculation gives -0.17 eV per atom. The density of states at the Fermi level is 0.28 states/eV per atom. For the volume, the calculation gives 15.522 Å³/atom. The symmetry is C2/m (12).

a = 4.268 Å, b = 5.489 Å, c = 6.815 Å
α = 83.15°, β = 71.75°, γ = 67.12°
Element x y z (fractional)
Au  0.350  0.799  0.501
Al  0.000  0.500  0.500
Au  0.650  0.201  0.499
Au  0.971  0.215  0.843
Au  0.685  0.785  0.845
Be  0.335  0.499  0.831
Au  0.315  0.215  0.155
Au  0.029  0.785  0.157
Be  0.665  0.501  0.169



No. 11
Computed, not measured: crystalline BeAlAu3 at its relaxed geometry at the PBE level of DFT.

Properties
For the formation energy, the calculation gives 0.72 eV per atom. The density of states at the Fermi level is 0.39 states/eV per atom. For the volume, the calculation gives 22.111 Å³/atom. The symmetry is Pm-3m (221).

a = 4.799 Å, b = 4.799 Å, c = 4.799 Å
α = 90.00°, β = 90.00°, γ = 90.00°
Element x y z (fractional)
Be  0.500  0.500  0.500
Au  0.500  0.000  0.000
Al  0.000  0.000  0.000
Au  0.000  0.000  0.500
Au  0.000  0.500  0.000



No. 12
Computed, not measured: crystalline BeAlAu2 at its relaxed geometry at the PBE level of DFT.

Properties
For the formation energy, the calculation gives -0.20 eV per atom. The density of states at the Fermi level is 0.14 states/eV per atom. For the volume, the calculation gives 15.675 Å³/atom. The symmetry is Pmm2 (25).

a = 4.210 Å, b = 3.418 Å, c = 4.357 Å
α = 90.00°, β = 90.00°, γ = 90.00°
Element x y z (fractional)
Al  0.500  0.875  0.679
Au  0.500  0.375  0.257
Au  0.000  0.875  0.988
Be  0.000  0.375  0.575



no.,raw total energy (eV/f.u.)
1,-24.45
2,-19.05
3,-15.29
4,-28.95
5,-34.44
6,-14.50
7,-14.44
8,-14.68
9,-16.54
10,-32.39
11,-13.71
12,-14.83